[1]
Computed, not measured: an optimized crystal structure of Rb2NaTmCl6 at the PBE level of DFT.

a b c (Å): 10.718 10.718 10.718
angles (deg): 90.00 90.00 90.00
Space group Fm-3m (No. 225)
Inequivalent atoms, fractional coordinates:
1 Rb 0.250 0.250 0.250 (multiplicity 8)
2 Na 0.000 0.000 0.000 (multiplicity 4)
3 Tm 0.000 0.000 0.500 (multiplicity 4)
4 Cl 0.000 0.000 0.258 (multiplicity 24)

Summary:
For the density of states at the Fermi level, the calculation gives 0.00 states/eV/f.u. Its magnetization is 0.00 μB per atom. Its total energy is -3.99 eV per atom. The formation energy (no corrections) comes out at -2.104 eV/atom.

[2]
Computed, not measured: an optimized crystal structure of TaZnW2 at the PBE level of DFT.

a b c (Å): 3.320 3.320 5.854
angles (deg): 90.00 90.00 90.00
Space group P4/mmm (No. 123)
Inequivalent atoms, fractional coordinates:
1 Ta 0.000 0.000 0.000 (multiplicity 1)
2 Zn 0.000 0.000 0.500 (multiplicity 1)
3 W 0.500 0.500 0.271 (multiplicity 2)

Summary:
The value obtained for the calculated formation energy is 0.214 eV/atom. For the density of states at the Fermi level, the calculation gives 2.20 states/eV/f.u. Its magnetization is 0.00 μB per atom. Its total energy is -9.54 eV per atom.

[3]
Computed, not measured: an optimized crystal structure of Nd3Ti5As12 at the PBE level of DFT.

a b c (Å): 15.937 15.937 15.937
angles (deg): 90.00 90.00 90.00
Space group Ia-3d (No. 230)
Inequivalent atoms, fractional coordinates:
1 Nd 0.000 0.250 0.125 (multiplicity 24)
2 Ti 0.000 0.000 0.000 (multiplicity 16)
3 Ti 0.000 0.250 0.375 (multiplicity 24)
4 As 0.033 0.065 0.646 (multiplicity 96)

Summary:
The value obtained for the calculated formation energy is -0.427 eV/atom. For the density of states at the Fermi level, the calculation gives 9.98 states/eV/f.u. Its magnetization is 0.00 μB per atom. Its total energy is -5.91 eV per atom.

[4]
Computed, not measured: an optimized crystal structure of CsMgGa2Co at the PBE level of DFT.

a b c (Å): 4.787 4.787 5.164
angles (deg): 90.00 90.00 90.00
Space group P4/mmm (No. 123)
Inequivalent atoms, fractional coordinates:
1 Cs 0.000 0.000 0.000 (multiplicity 1)
2 Mg 0.500 0.500 0.000 (multiplicity 1)
3 Ga 0.000 0.500 0.500 (multiplicity 2)
4 Co 0.500 0.500 0.500 (multiplicity 1)

Summary:
The value obtained for the calculated formation energy is 0.001 eV/atom. For the density of states at the Fermi level, the calculation gives 1.23 states/eV/f.u. Its magnetization is 0.00 μB per atom. Its total energy is -3.12 eV per atom.

[5]
Computed, not measured: an optimized crystal structure of LaPaFe at the PBE level of DFT.

a b c (Å): 5.9157 5.9157 7.1046
angles (deg): 90.00 90.00 120.00
Space group P3_2 (No. 145)
Inequivalent atoms, fractional coordinates:
1 La 0.1114 0.7680 0.0000 (multiplicity 3)
2 Pa 0.0890 0.7687 0.4875 (multiplicity 3)
3 Fe 0.5396 0.2982 0.2871 (multiplicity 3)

Summary:
The value obtained for the calculated formation energy is 0.169 eV/atom. For the density of states at the Fermi level, the calculation gives 3.78 states/eV/f.u. Its magnetization is 0.00 μB per atom. Its total energy is -7.46 eV per atom.

[6]
Computed, not measured: an optimized crystal structure of Tb4Tl2CdPd at the PBE level of DFT.

a b c (Å): 5.2896 5.2896 25.6518
angles (deg): 90.00 90.00 120.00
Space group R-3m (No. 166, hexagonal axes)
Inequivalent atoms, fractional coordinates:
1 Tb 0.0000 0.0000 0.1168 (multiplicity 6)
2 Tb 0.0000 0.0000 0.3690 (multiplicity 6)
3 Tl 0.0000 0.0000 0.2437 (multiplicity 6)
4 Cd 0.0000 0.0000 0.5000 (multiplicity 3)
5 Pd 0.0000 0.0000 0.0000 (multiplicity 3)

Summary:
The value obtained for the calculated formation energy is -0.461 eV/atom. For the density of states at the Fermi level, the calculation gives 5.37 states/eV/f.u. Its magnetization is 0.00 μB per atom. Its total energy is -4.13 eV per atom.